Density functional theory data (PBE-GGA) for Pu2HAu after structural relaxation.

## Properties
D(E_F)	3.9848	states/eV/atom
E	-9.0822	eV/atom

Cell lengths 4.8103, 7.0601, 9.3859 Å; angles 79.25, 90.00, 90.00 degrees
Last column: nearest neighbours and their distance in Å.
Positions (direct):
1 Pu 0.2500 0.5494 0.8019  2 H 2.49
2 Pu 0.2500 0.0494 0.8019  2 H 2.49
3 Pu 0.7500 0.8553 0.5811  4 H 2.42-2.51
4 Pu 0.7500 0.9506 0.1981  2 H 2.49
5 Pu 0.2500 0.1447 0.4189  4 H 2.42-2.51
6 Pu 0.2500 0.6447 0.4189  4 H 2.42-2.51
7 Pu 0.7500 0.4506 0.1981  2 H 2.49
8 Pu 0.7500 0.3553 0.5811  4 H 2.42-2.51
9 H 0.7500 0.1535 0.3880  6 Pu 2.42-2.51
10 H 0.7500 0.6535 0.3880  6 Pu 2.42-2.51
11 H 0.2500 0.8465 0.6120  6 Pu 2.42-2.51
12 H 0.2500 0.3465 0.6120  6 Pu 2.42-2.51
13 Au 0.7500 0.7716 0.9122  2 Au 2.90, 7 Pu 3.05-3.17
14 Au 0.2500 0.7284 0.0878  2 Au 2.90, 7 Pu 3.05-3.17
15 Au 0.7500 0.2716 0.9122  2 Au 2.90, 7 Pu 3.05-3.17
16 Au 0.2500 0.2284 0.0878  2 Au 2.90, 7 Pu 3.05-3.17